Crystalline TaCd2O at its relaxed geometry, computed with PBE-GGA.

Results
**Uncorrected formation energy**: -0.084 eV/atom
**ρ**: 7.966 g/cm³
**Crystal system**: tetragonal
**E**: -4.745 eV/atom
**Size of the total moment**: 1.00 μB per formula unit

Lattice parameters (Å, degrees): 9.5028 9.5028 3.8945 90.00 90.00 90.00
Space group I-42d (No. 122)
Symmetry-distinct sites (fractional):
Ta (0.0000, 0.0000, 0.0000) x4
Cd (0.1376, 0.7500, 0.6250) x8
O (0.0000, 0.0000, 0.5000) x4